DFT (GGA-PBE) results for an optimized crystal structure of ScUB4.

Cell: 3.4569 3.4569 6.0840 Å, 106.51 106.51 90.00°
Positions (direct):
1 Sc 0.0000 0.0000 0.0000
2 U 0.2500 0.7500 0.5000
3 B 0.6673 0.1673 0.3346
4 B 0.5796 0.5796 0.1593
5 B 0.8327 0.3327 0.6654
6 B 0.4204 0.4204 0.8407

Summary:
Energy of formation, meV/atom: -449
Crystal system: tetragonal
Fermi-level density of states, states/eV/cell: 4.119

DFT (GGA-PBE) results for an optimized crystal structure of AlTcGe2.

Cell: 4.4406 4.4406 4.4406 Å, 60.00 60.00 60.00°
Positions (direct):
1 Ge 0.2500 0.2500 0.2500
2 Ge 0.7500 0.7500 0.7500
3 Tc 0.5000 0.5000 0.5000
4 Al 0.0000 0.0000 0.0000

Summary:
Energy of formation, meV/atom: 234
Crystal system: cubic
Fermi-level density of states, states/eV/cell: 2.631
Excess energy over the best structure of this formula in the dataset, kJ/mol of atoms: 23.2

DFT (GGA-PBE) results for an optimized crystal structure of SiBiOs2.

Cell: 4.5255 4.5255 4.5255 Å, 60.00 60.00 60.00°
Positions (direct):
1 Si 0.0000 0.0000 0.0000
2 Os 0.2500 0.2500 0.2500
3 Os 0.7500 0.7500 0.7500
4 Bi 0.5000 0.5000 0.5000

Summary:
Crystal system: cubic
Fermi-level density of states, states/eV/cell: 1.943
Excess energy over the best structure of this formula in the dataset, kJ/mol of atoms: 0.0
Raw formation energy, eV per atom: 0.717

DFT (GGA-PBE) results for an optimized crystal structure of La8Ge3BiI4.

Cell: 9.0915 9.3038 9.0910 Å, 119.25 120.00 90.00°
Positions (direct):
1 La 0.2467 0.7109 0.9642
2 La 0.2468 0.7110 0.4936
3 La 0.2658 0.2974 0.5316
4 La 0.7175 0.7109 0.9642
5 La 0.2825 0.2891 0.0358
6 La 0.7342 0.7026 0.4684
7 La 0.7532 0.2890 0.5064
8 La 0.7533 0.2891 0.0358
9 Ge 0.5000 0.5000 0.0000
10 Ge 0.5000 0.5000 0.5000
11 Ge 0.0000 0.5000 0.5000
12 Bi 0.0000 0.5000 0.0000
13 I 0.5000 0.0000 0.0000
14 I 0.5000 0.0000 0.5000
15 I 0.0000 0.0000 0.0000
16 I 0.0000 0.0000 0.5000

Summary:
Crystal system: trigonal
Fermi-level density of states, states/eV/cell: 10.017
Raw formation energy, eV per atom: -1.090

DFT (GGA-PBE) results for an optimized crystal structure of Zr4ScP5.

Cell: 3.7508 3.7508 13.4895 Å, 97.99 97.99 90.00°
Positions (direct):
1 Zr 0.3998 0.3998 0.7997
2 Zr 0.7997 0.7997 0.5994
3 Zr 0.2003 0.2003 0.4006
4 Zr 0.6002 0.6002 0.2003
5 Sc 0.0000 0.0000 0.0000
6 P 0.0997 0.0997 0.1994
7 P 0.5000 0.5000 0.0000
8 P 0.9003 0.9003 0.8006
9 P 0.3001 0.3001 0.6002
10 P 0.6999 0.6999 0.3998

Summary:
Energy of formation, meV/atom: -1375
Crystal system: tetragonal
Fermi-level density of states, states/eV/cell: 4.036

DFT (GGA-PBE) results for an optimized crystal structure of BaGe2Pt3.

Cell: 4.2058 8.8198 10.4414 Å, 106.11 90.00 103.79°
Positions (direct):
1 Ba 0.1551 0.3102 0.7020
2 Ba 0.8449 0.6898 0.2980
3 Ba 0.0000 0.0000 0.0000
4 Ge 0.2012 0.4023 0.1259
5 Ge 0.7988 0.5977 0.8741
6 Ge 0.4737 0.9474 0.2334
7 Ge 0.5263 0.0526 0.7666
8 Ge 0.3599 0.7198 0.5487
9 Ge 0.6401 0.2802 0.4513
10 Pt 0.0475 0.0950 0.3410
11 Pt 0.9525 0.9050 0.6590
12 Pt 0.2204 0.4407 0.3945
13 Pt 0.7796 0.5593 0.6055
14 Pt 0.6329 0.2658 0.2089
15 Pt 0.3671 0.7342 0.7911
16 Pt 0.5000 0.0000 0.5000
17 Pt 0.3295 0.6591 0.0401
18 Pt 0.6705 0.3409 0.9599

Summary:
Energy of formation, meV/atom: -660
Crystal system: monoclinic
Fermi-level density of states, states/eV/cell: 7.108

DFT (GGA-PBE) results for an optimized crystal structure of Sm2LuIn.

Cell: 3.5778 3.5778 9.4598 Å, 90.00 90.00 90.00°
Positions (direct):
1 Lu 0.5000 0.5000 0.5000
2 Sm 0.0000 0.0000 0.7689
3 Sm 0.0000 0.0000 0.2311
4 In 0.5000 0.5000 0.0000

Summary:
Energy of formation, meV/atom: -201
Crystal system: tetragonal
Fermi-level density of states, states/eV/cell: 5.922
Excess energy over the best structure of this formula in the dataset, kJ/mol of atoms: 6.0

DFT (GGA-PBE) results for an optimized crystal structure of PrHfSc2.

Cell: 5.2689 5.2689 5.2689 Å, 60.00 60.00 60.00°
Positions (direct):
1 Pr 0.0000 0.0000 0.0000
2 Sc 0.2500 0.2500 0.2500
3 Sc 0.7500 0.7500 0.7500
4 Hf 0.5000 0.5000 0.5000

Summary:
Energy of formation, meV/atom: 198
Crystal system: cubic
Fermi-level density of states, states/eV/cell: 6.308
Excess energy over the best structure of this formula in the dataset, kJ/mol of atoms: 9.6

DFT (GGA-PBE) results for an optimized crystal structure of Nd2SI.

Cell: 4.2129 4.2129 7.8766 Å, 74.49 74.49 60.00°
Positions (direct):
1 I 0.5000 0.5000 0.5000
2 S 0.0000 0.0000 0.0000
3 Nd 0.2725 0.2725 0.1826
4 Nd 0.7275 0.7275 0.8174

Summary:
Crystal system: trigonal
Fermi-level density of states, states/eV/cell: 2.485
Excess energy over the best structure of this formula in the dataset, kJ/mol of atoms: 0.0
Raw formation energy, eV per atom: -1.460

DFT (GGA-PBE) results for an optimized crystal structure of LiAl.

Cell: 8.5768 8.5768 8.5768 Å, 90.00 90.00 90.00°
Positions (direct):
1 Li 0.2079 0.2079 0.2079
2 Li 0.2079 0.7921 0.7921
3 Li 0.7921 0.2079 0.7921
4 Li 0.7921 0.7921 0.2079
5 Li 0.7079 0.7079 0.7079
6 Li 0.7079 0.2921 0.2921
7 Li 0.2921 0.7079 0.2921
8 Li 0.2921 0.2921 0.7079
9 Al 0.3891 0.3891 0.3891
10 Al 0.3891 0.6109 0.6109
11 Al 0.6109 0.3891 0.6109
12 Al 0.6109 0.6109 0.3891
13 Al 0.8891 0.8891 0.8891
14 Al 0.8891 0.1109 0.1109
15 Al 0.1109 0.8891 0.1109
16 Al 0.1109 0.1109 0.8891

Summary:
Energy of formation, meV/atom: 540
Crystal system: cubic
Fermi-level density of states, states/eV/cell: 19.896

DFT (GGA-PBE) results for an optimized crystal structure of Sr6PPd.

Cell: 7.5651 7.5651 7.5380 Å, 99.11 99.11 119.94°
Positions (direct):
1 Sr 0.5884 0.9036 0.7497
2 Sr 0.9036 0.5884 0.7497
3 Sr 0.0964 0.4116 0.2503
4 Sr 0.4116 0.0964 0.2503
5 Sr 0.2510 0.2510 0.7436
6 Sr 0.7490 0.7490 0.2564
7 P 0.5000 0.5000 0.5000
8 Pd 0.0000 0.0000 0.0000

Summary:
Energy of formation, meV/atom: -462
Crystal system: monoclinic
Fermi-level density of states, states/eV/cell: 7.199

DFT (GGA-PBE) results for an optimized crystal structure of ScTeN2O.

Cell: 4.2409 4.2409 3.9507 Å, 90.00 90.00 90.00°
Each line ends with the local moment (μB).
Positions (direct):
1 Sc 0.0000 0.0000 0.0000  0.00
2 Te 0.5000 0.5000 0.5000  -0.13
3 O 0.0000 0.0000 0.5000  0.20
4 N 0.0000 0.5000 0.0000  0.45
5 N 0.5000 0.0000 0.0000  0.45

Summary:
Crystal system: tetragonal
Fermi-level density of states, states/eV/cell: 3.747
Raw formation energy, eV per atom: 0.244

DFT (GGA-PBE) results for an optimized crystal structure of NaAs2P2.

Cell: 8.2175 8.2175 3.4433 Å, 90.00 90.00 90.00°
Positions (direct):
1 P 0.3104 0.8104 0.0000
2 P 0.8104 0.6896 0.0000
3 P 0.6896 0.1896 0.0000
4 P 0.1896 0.3104 0.0000
5 As 0.1781 0.6781 0.5000
6 As 0.6781 0.8219 0.5000
7 As 0.8219 0.3219 0.5000
8 As 0.3219 0.1781 0.5000
9 Na 0.0000 0.0000 0.0000
10 Na 0.5000 0.5000 0.0000

Summary:
Energy of formation, meV/atom: 56
Crystal system: tetragonal
Fermi-level density of states, states/eV/cell: 4.727
Excess energy over the best structure of this formula in the dataset, kJ/mol of atoms: 1.0

DFT (GGA-PBE) results for an optimized crystal structure of Sm2Tm3Bi2.

Cell: 4.3421 6.4858 8.6747 Å, 108.36 90.00 109.56°
Positions (direct):
1 Sm 0.8747 0.7494 0.2228
2 Sm 0.1253 0.2506 0.7772
3 Tm 0.5000 0.0000 0.0000
4 Tm 0.6240 0.2480 0.4450
5 Tm 0.3760 0.7520 0.5550
6 Bi 0.8277 0.6555 0.8049
7 Bi 0.1723 0.3445 0.1951

Summary:
Energy of formation, meV/atom: -454
Crystal system: monoclinic
Fermi-level density of states, states/eV/cell: 7.387

DFT (GGA-PBE) results for an optimized crystal structure of Tb3PrSc2.

Cell: 6.0819 7.0396 8.6448 Å, 101.76 96.77 90.07°
Positions (direct):
1 Tb 0.7470 0.8779 0.0091
2 Tb 0.2530 0.1221 0.9909
3 Tb 0.8567 0.0398 0.6600
4 Tb 0.1454 0.4600 0.3405
5 Tb 0.8546 0.5400 0.6595
6 Tb 0.1433 0.9602 0.3400
7 Pr 0.7458 0.3774 0.0135
8 Pr 0.2542 0.6226 0.9865
9 Sc 0.3647 0.2878 0.6596
10 Sc 0.3658 0.7926 0.6601
11 Sc 0.6342 0.2074 0.3399
12 Sc 0.6353 0.7122 0.3404

Summary:
Energy of formation, meV/atom: 23
Crystal system: triclinic
Fermi-level density of states, states/eV/cell: 16.670
Excess energy over the best structure of this formula in the dataset, kJ/mol of atoms: 0.0

DFT (GGA-PBE) results for an optimized crystal structure of AcPrInPd.

Cell: 5.4983 5.4983 5.4983 Å, 60.00 60.00 60.00°
Positions (direct):
1 Pr 0.7500 0.7500 0.7500
2 Ac 0.2500 0.2500 0.2500
3 Pd 0.0000 0.0000 0.0000
4 In 0.5000 0.5000 0.5000

Summary:
Energy of formation, meV/atom: -475
Crystal system: cubic
Fermi-level density of states, states/eV/cell: 3.696